No. 1
This record from Alexandria via LeMat-Bulk describes SrBeAlSe2 after structural relaxation. The functional is PBE.

Summary:
Formation energy (no corrections)   -454 meV per atom

Cell: 5.2394 5.2394 4.4254 Å, 90.00 90.00 90.00°
Space group P4/mmm (No. 123)
Inequivalent atoms, fractional coordinates:
Sr 0.0000 0.0000 0.0000
Be 0.5000 0.5000 0.0000
Al 0.5000 0.5000 0.5000
Se 0.0000 0.5000 0.5000

No. 2
This record from Alexandria via LeMat-Bulk describes Be2AlSi after structural relaxation. The functional is PBE.

Summary:
Formation energy (no corrections)   270 meV per atom

Cell: 3.6793 3.6793 3.4780 Å, 90.00 90.00 90.00°
Space group P4/mmm (No. 123)
Inequivalent atoms, fractional coordinates:
Be 0.0000 0.5000 0.0000
Al 0.0000 0.0000 0.5000
Si 0.5000 0.5000 0.5000

No. 3
This record from Alexandria via LeMat-Bulk describes Be2AlSi after structural relaxation. The functional is PBE.

Summary:
Formation energy (no corrections)   247 meV per atom

Cell: 7.5200 2.7305 4.8958 Å, 90.00 101.24 90.00°
Space group Cm (No. 8)
Inequivalent atoms, fractional coordinates:
Be 0.0000 0.0000 0.0000
Be 0.2366 0.5000 0.1462
Al 0.2453 0.0000 0.7142
Si 0.4821 0.0000 0.3870

No. 4
This record from Alexandria via LeMat-Bulk describes Be2AlSi after structural relaxation. The functional is PBE.

Summary:
Formation energy (no corrections)   198 meV per atom

Cell: 4.2087 5.3706 5.5145 Å, 114.33 102.00 100.38°
Space group P-1 (No. 2)
Inequivalent atoms, fractional coordinates:
Be 0.0932 0.0446 0.3405
Be 0.3987 0.9526 0.6502
Al 0.0713 0.4757 0.7520
Si 0.3231 0.2291 0.0837

No. 5
This record from Alexandria via LeMat-Bulk describes BeAl2Si after structural relaxation. The functional is PBE.

Summary:
Formation energy (no corrections)   205 meV per atom

Cell: 9.1090 2.7678 4.6954 Å, 90.00 108.07 90.00°
Space group Cm (No. 8)
Inequivalent atoms, fractional coordinates:
Be 0.0000 0.0000 0.0000
Al 0.0311 0.5000 0.4919
Al 0.2511 0.5000 0.1681
Si 0.2968 0.0000 0.7003

No. 6
This record from Alexandria via LeMat-Bulk describes Be2AlSi after structural relaxation. The functional is PBE.

Summary:
Formation energy (no corrections)   300 meV per atom

Cell: 3.5730 3.7588 7.0585 Å, 90.00 90.00 90.00°
Space group Immm (No. 71)
Inequivalent atoms, fractional coordinates:
Be 0.0000 0.0000 0.2468
Al 0.0000 0.5000 0.0000
Si 0.0000 0.5000 0.5000